# 1
Entry from the Alexandria database: crystalline Sr8Ge2Pt at its relaxed geometry (PBE).

For the total magnetization, the calculation gives 0.000 μB/f.u. For the formation energy, the calculation gives -0.402 eV per atom. Its calculated density is 4.30 g/cm³. The calculation puts the total DFT energy (no corrections) at -3.014 eV per atom. Its symmetry is C2/m (12).

a b c (Å): 10.581 10.581 7.473
angles (deg): 102.68 102.68 29.57
Sites, in units of the cell vectors:
Sr 0.039 0.039 0.308
Sr 0.214 0.214 0.820
Sr 0.340 0.340 0.543
Sr 0.412 0.412 0.088
Sr 0.588 0.588 0.912
Sr 0.660 0.660 0.457
Sr 0.786 0.786 0.180
Sr 0.961 0.961 0.692
Ge 0.195 0.195 0.232
Ge 0.805 0.805 0.768
Pt 0.500 0.500 0.500

# 2
Entry from the Alexandria database: crystalline Sr2GePt at its relaxed geometry (PBE).

For the total magnetization, the calculation gives 0.000 μB/f.u. For the formation energy, the calculation gives -0.249 eV per atom. Its calculated density is 6.21 g/cm³. The calculation puts the total DFT energy (no corrections) at -3.755 eV per atom. Its symmetry is I-42d (122).

a b c (Å): 8.316 8.316 6.857
angles (deg): 90.00 90.00 90.00
Sites, in units of the cell vectors:
Sr 0.224 0.250 0.125
Sr 0.250 0.724 0.375
Sr 0.250 0.776 0.875
Sr 0.276 0.250 0.625
Sr 0.724 0.750 0.625
Sr 0.750 0.224 0.875
Sr 0.750 0.276 0.375
Sr 0.776 0.750 0.125
Ge 0.000 0.000 0.500
Ge 0.000 0.500 0.750
Ge 0.500 0.000 0.250
Ge 0.500 0.500 0.000
Pt 0.000 0.000 0.000
Pt 0.000 0.500 0.250
Pt 0.500 0.000 0.750
Pt 0.500 0.500 0.500

# 3
Entry from the Alexandria database: crystalline SrGePt3 at its relaxed geometry (PBE).

For the total magnetization, the calculation gives 0.000 μB/f.u. For the formation energy, the calculation gives -0.356 eV per atom. The calculation puts the excess energy over the best structure of this formula in the dataset at 394 meV/atom. Its calculated density is 11.26 g/cm³. The calculation puts the total DFT energy (no corrections) at -5.241 eV per atom. Its symmetry is Pm-3m (221).

a b c (Å): 4.790 4.790 4.790
angles (deg): 90.00 90.00 90.00
Sites, in units of the cell vectors:
Sr 0.000 0.000 0.000
Ge 0.500 0.500 0.500
Pt 0.000 0.500 0.500
Pt 0.500 0.000 0.500
Pt 0.500 0.500 0.000

# 4
Entry from the Alexandria database: crystalline Sr2Ge3Pt2 at its relaxed geometry (PBE).

For the total magnetization, the calculation gives 0.000 μB/f.u. For the formation energy, the calculation gives -0.667 eV per atom. Its calculated density is 8.53 g/cm³. The calculation puts the total DFT energy (no corrections) at -4.852 eV per atom. Its symmetry is Cmcm (63).

a b c (Å): 9.528 9.528 7.258
angles (deg): 90.00 90.00 152.42
Sites, in units of the cell vectors:
Sr 0.063 0.937 0.750
Sr 0.155 0.845 0.250
Sr 0.845 0.155 0.750
Sr 0.937 0.063 0.250
Ge 0.233 0.767 0.750
Ge 0.439 0.561 0.574
Ge 0.439 0.561 0.926
Ge 0.561 0.439 0.074
Ge 0.561 0.439 0.426
Ge 0.767 0.233 0.250
Pt 0.309 0.691 0.053
Pt 0.309 0.691 0.447
Pt 0.691 0.309 0.553
Pt 0.691 0.309 0.947

# 5
Entry from the Alexandria database: crystalline Sr2TbGe3Pt4 at its relaxed geometry (PBE).

For the total magnetization, the calculation gives 0.000 μB/f.u. For the formation energy, the calculation gives -0.876 eV per atom. Its calculated density is 10.24 g/cm³. The calculation puts the total DFT energy (no corrections) at -5.477 eV per atom. Its symmetry is P-4m2 (115).

a b c (Å): 4.432 4.432 11.001
angles (deg): 90.00 90.00 90.00
Sites, in units of the cell vectors:
Sr 0.000 0.500 0.230
Sr 0.500 0.000 0.770
Tb 0.000 0.000 0.500
Ge 0.000 0.500 0.883
Ge 0.500 0.000 0.117
Ge 0.500 0.500 0.500
Pt 0.000 0.000 0.000
Pt 0.000 0.500 0.656
Pt 0.500 0.000 0.344
Pt 0.500 0.500 0.000

# 6
Entry from the Alexandria database: crystalline SrTbGe2Pt5 at its relaxed geometry (PBE).

For the total magnetization, the calculation gives 0.000 μB/f.u. For the formation energy, the calculation gives -0.714 eV per atom. Its calculated density is 13.13 g/cm³. The calculation puts the total DFT energy (no corrections) at -5.798 eV per atom. Its symmetry is P4/mmm (123).

a b c (Å): 4.457 4.457 8.702
angles (deg): 90.00 90.00 90.00
Sites, in units of the cell vectors:
Sr 0.000 0.000 0.000
Tb 0.000 0.000 0.500
Ge 0.500 0.500 0.357
Ge 0.500 0.500 0.643
Pt 0.000 0.500 0.240
Pt 0.000 0.500 0.760
Pt 0.500 0.000 0.240
Pt 0.500 0.000 0.760
Pt 0.500 0.500 0.000

Question: Which value of calculated density does entry 2 give?
Answer: 6.21 g/cm³